No. 1
# FeAg2S

An optimized crystal structure of FeAg2S (PBE, the Alexandria database).

```
data_FeAg2S
_cell_length_a 8.589
_cell_length_b 8.589
_cell_length_c 4.283
_cell_angle_alpha 90.00
_cell_angle_beta 90.00
_cell_angle_gamma 90.00
_symmetry_space_group_name_H-M 'I -4 2 d'
_symmetry_Int_Tables_number 122
_symmetry_space_group_name_Hall 'I -4 2bw'
loop_
_atom_site_label
_atom_site_type_symbol
_atom_site_fract_x
_atom_site_fract_y
_atom_site_fract_z
_atom_site_occupancy
Fe1 Fe 0.000 0.000 0.000 1
Ag1 Ag 0.148 0.750 0.625 1
S1 S 0.000 0.000 0.500 1
```

Summary:
ΔE_f (raw)   407 meV/atom
Total magnetic moment   2.35 μB per formula unit
Total DFT energy (no corrections)   -4.1657 eV/atom
V   19.7 Å³/atom

=====

No. 2
# Fe2AgS3

An optimized crystal structure of Fe2AgS3 (PBE, the Alexandria database).

```
data_Fe2AgS3
_cell_length_a 10.830
_cell_length_b 6.384
_cell_length_c 12.847
_cell_angle_alpha 90.00
_cell_angle_beta 90.00
_cell_angle_gamma 90.00
_symmetry_space_group_name_H-M 'C m c e'
_symmetry_Int_Tables_number 64
_symmetry_space_group_name_Hall '-C 2ac 2'
loop_
_atom_site_label
_atom_site_type_symbol
_atom_site_fract_x
_atom_site_fract_y
_atom_site_fract_z
_atom_site_occupancy
Fe1 Fe 0.168 0.167 0.059 1
Ag1 Ag 0.000 0.153 0.289 1
S1 S 0.000 0.192 0.611 1
S2 S 0.177 0.154 0.892 1
```

Summary:
ΔE_f (raw)   -257 meV/atom
Offset from the most stable computed form   0.0573 eV/atom
Total magnetic moment   0.00 μB per formula unit
Total DFT energy (no corrections)   -5.6173 eV/atom
V   18.5 Å³/atom

=====

No. 3
# FeSiAg2S4

An optimized crystal structure of FeSiAg2S4 (PBE, the Alexandria database).

```
data_FeSiAg2S4
_cell_length_a 6.451
_cell_length_b 6.622
_cell_length_c 10.167
_cell_angle_alpha 90.00
_cell_angle_beta 129.13
_cell_angle_gamma 90.00
_symmetry_space_group_name_H-M 'P 1 c 1'
_symmetry_Int_Tables_number 7
loop_
_symmetry_equiv_pos_as_xyz
'x,y,z'
'x,-y,z+1/2'
loop_
_atom_site_label
_atom_site_type_symbol
_atom_site_fract_x
_atom_site_fract_y
_atom_site_fract_z
_atom_site_occupancy
Fe1 Fe 0.000 0.183 0.000 1
Si1 Si 0.245 0.316 0.747 1
Ag1 Ag 0.507 0.175 0.495 1
Ag2 Ag 0.750 0.352 0.245 1
S1 S 0.133 0.372 0.232 1
S2 S 0.332 0.187 0.972 1
S3 S 0.597 0.300 0.764 1
S4 S 0.925 0.156 0.521 1
```

Summary:
ΔE_f (raw)   -343 meV/atom
Total magnetic moment   4.00 μB per formula unit
Total DFT energy (no corrections)   -4.8553 eV/atom
V   21.1 Å³/atom

=====

No. 4
# Fe3AgSn2S8

An optimized crystal structure of Fe3AgSn2S8 (PBE, the Alexandria database).

```
data_Fe3AgSn2S8
_cell_length_a 7.083
_cell_length_b 7.376
_cell_length_c 10.239
_cell_angle_alpha 90.00
_cell_angle_beta 90.00
_cell_angle_gamma 90.00
_symmetry_space_group_name_H-M 'I m m 2'
_symmetry_Int_Tables_number 44
loop_
_symmetry_equiv_pos_as_xyz
'x,y,z'
'-x,-y,z'
'-x,y,z'
'x,-y,z'
'x+1/2,y+1/2,z+1/2'
'-x+1/2,-y+1/2,z+1/2'
'-x+1/2,y+1/2,z+1/2'
'x+1/2,-y+1/2,z+1/2'
loop_
_atom_site_label
_atom_site_type_symbol
_atom_site_fract_x
_atom_site_fract_y
_atom_site_fract_z
_atom_site_occupancy
Fe1 Fe 0.000 0.000 0.000 1
Fe2 Fe 0.247 0.000 0.620 1
Ag1 Ag 0.000 0.500 0.720 1
Sn1 Sn 0.000 0.243 0.370 1
S1 S 0.000 0.197 0.618 1
S2 S 0.000 0.281 0.119 1
S3 S 0.242 0.000 0.850 1
S4 S 0.245 0.500 0.900 1
```

Summary:
ΔE_f (raw)   -309 meV/atom
Total magnetic moment   5.04 μB per formula unit
Total DFT energy (no corrections)   -5.2568 eV/atom
V   19.1 Å³/atom

=====

No. 5
# SrFeAgS2

An optimized crystal structure of SrFeAgS2 (PBE, the Alexandria database).

```
data_SrFeAgS2
_cell_length_a 5.501
_cell_length_b 5.501
_cell_length_c 5.771
_cell_angle_alpha 90.00
_cell_angle_beta 90.00
_cell_angle_gamma 90.00
_symmetry_space_group_name_H-M 'P 4/m m m'
_symmetry_Int_Tables_number 123
_symmetry_space_group_name_Hall '-P 4 2'
loop_
_atom_site_label
_atom_site_type_symbol
_atom_site_fract_x
_atom_site_fract_y
_atom_site_fract_z
_atom_site_occupancy
Sr1 Sr 0.000 0.000 0.000 1
Fe1 Fe 0.000 0.000 0.500 1
Ag1 Ag 0.500 0.500 0.500 1
S1 S 0.000 0.500 0.000 1
```

Summary:
ΔE_f (raw)   934 meV/atom
Total magnetic moment   4.88 μB per formula unit
Total DFT energy (no corrections)   -3.3161 eV/atom
V   34.9 Å³/atom

=====

No. 6
# Y2FeAgS

An optimized crystal structure of Y2FeAgS (PBE, the Alexandria database).

```
data_Y2FeAgS
_cell_length_a 5.090
_cell_length_b 5.090
_cell_length_c 4.614
_cell_angle_alpha 90.00
_cell_angle_beta 90.00
_cell_angle_gamma 90.00
_symmetry_space_group_name_H-M 'P 4/m m m'
_symmetry_Int_Tables_number 123
_symmetry_space_group_name_Hall '-P 4 2'
loop_
_atom_site_label
_atom_site_type_symbol
_atom_site_fract_x
_atom_site_fract_y
_atom_site_fract_z
_atom_site_occupancy
Y1 Y 0.000 0.500 0.000 1
Fe1 Fe 0.000 0.000 0.000 1
Ag1 Ag 0.000 0.000 0.500 1
S1 S 0.500 0.500 0.500 1
```

Summary:
ΔE_f (raw)   50 meV/atom
Total magnetic moment   0.00 μB per formula unit
Total DFT energy (no corrections)   -5.6240 eV/atom
V   23.9 Å³/atom

=====

No. 7
# ZnFe2AgS

An optimized crystal structure of ZnFe2AgS (PBE, the Alexandria database).

```
data_ZnFe2AgS
_cell_length_a 4.159
_cell_length_b 4.159
_cell_length_c 4.618
_cell_angle_alpha 90.00
_cell_angle_beta 90.00
_cell_angle_gamma 90.00
_symmetry_space_group_name_H-M 'P 4/m m m'
_symmetry_Int_Tables_number 123
_symmetry_space_group_name_Hall '-P 4 2'
loop_
_atom_site_label
_atom_site_type_symbol
_atom_site_fract_x
_atom_site_fract_y
_atom_site_fract_z
_atom_site_occupancy
Zn1 Zn 0.000 0.000 0.000 1
Fe1 Fe 0.000 0.500 0.500 1
Ag1 Ag 0.500 0.500 0.000 1
S1 S 0.000 0.000 0.500 1
```

Summary:
ΔE_f (raw)   389 meV/atom
Total magnetic moment   4.07 μB per formula unit
Total DFT energy (no corrections)   -4.6470 eV/atom
V   16.0 Å³/atom

=====

No. 8
# Fe2AgSb

An optimized crystal structure of Fe2AgSb (PBE, the Alexandria database).

```
data_Fe2AgSb
_cell_length_a 4.011
_cell_length_b 4.011
_cell_length_c 4.021
_cell_angle_alpha 90.00
_cell_angle_beta 90.00
_cell_angle_gamma 90.00
_symmetry_space_group_name_H-M 'P 4/m m m'
_symmetry_Int_Tables_number 123
_symmetry_space_group_name_Hall '-P 4 2'
loop_
_atom_site_label
_atom_site_type_symbol
_atom_site_fract_x
_atom_site_fract_y
_atom_site_fract_z
_atom_site_occupancy
Fe1 Fe 0.000 0.500 0.000 1
Ag1 Ag 0.000 0.000 0.500 1
Sb1 Sb 0.500 0.500 0.500 1
```

Summary:
ΔE_f (raw)   328 meV/atom
Total magnetic moment   5.56 μB per formula unit
Total DFT energy (no corrections)   -5.6463 eV/atom
V   16.2 Å³/atom

=====

No. 9
# Fe3AgSb

An optimized crystal structure of Fe3AgSb (PBE, the Alexandria database).

```
data_Fe3AgSb
_cell_length_a 4.781
_cell_length_b 4.781
_cell_length_c 4.781
_cell_angle_alpha 90.00
_cell_angle_beta 90.00
_cell_angle_gamma 90.00
_symmetry_space_group_name_H-M 'P m -3 m'
_symmetry_Int_Tables_number 221
_symmetry_space_group_name_Hall '-P 4 2 3'
loop_
_atom_site_label
_atom_site_type_symbol
_atom_site_fract_x
_atom_site_fract_y
_atom_site_fract_z
_atom_site_occupancy
Fe1 Fe 0.000 0.000 0.500 1
Ag1 Ag 0.500 0.500 0.500 1
Sb1 Sb 0.000 0.000 0.000 1
```

Summary:
ΔE_f (raw)   1266 meV/atom
Offset from the most stable computed form   0.0000 eV/atom
Total magnetic moment   8.08 μB per formula unit
Total DFT energy (no corrections)   -5.2060 eV/atom
V   21.9 Å³/atom

=====

No. 10
# FeAgSb

An optimized crystal structure of FeAgSb (PBE, the Alexandria database).

```
data_FeAgSb
_cell_length_a 3.333
_cell_length_b 3.333
_cell_length_c 9.793
_cell_angle_alpha 90.00
_cell_angle_beta 90.00
_cell_angle_gamma 90.00
_symmetry_space_group_name_H-M 'I 4 m m'
_symmetry_Int_Tables_number 107
_symmetry_space_group_name_Hall 'I 4 -2'
loop_
_atom_site_label
_atom_site_type_symbol
_atom_site_fract_x
_atom_site_fract_y
_atom_site_fract_z
_atom_site_occupancy
Fe1 Fe 0.000 0.000 0.000 1
Ag1 Ag 0.000 0.000 0.328 1
Sb1 Sb 0.000 0.000 0.626 1
```

Summary:
ΔE_f (raw)   364 meV/atom
Total magnetic moment   1.93 μB per formula unit
Total DFT energy (no corrections)   -4.7815 eV/atom
V   18.1 Å³/atom

=====

No. 11
# Fe2AgSb

An optimized crystal structure of Fe2AgSb (PBE, the Alexandria database).

```
data_Fe2AgSb
_cell_length_a 3.385
_cell_length_b 3.385
_cell_length_c 5.640
_cell_angle_alpha 90.00
_cell_angle_beta 90.00
_cell_angle_gamma 90.00
_symmetry_space_group_name_H-M 'P 4/m m m'
_symmetry_Int_Tables_number 123
_symmetry_space_group_name_Hall '-P 4 2'
loop_
_atom_site_label
_atom_site_type_symbol
_atom_site_fract_x
_atom_site_fract_y
_atom_site_fract_z
_atom_site_occupancy
Fe1 Fe 0.000 0.000 0.231 1
Ag1 Ag 0.500 0.500 0.500 1
Sb1 Sb 0.500 0.500 0.000 1
```

Summary:
ΔE_f (raw)   397 meV/atom
Total magnetic moment   4.85 μB per formula unit
Total DFT energy (no corrections)   -5.5781 eV/atom
V   16.2 Å³/atom

=====

No. 12
# FeAg2Sb2

An optimized crystal structure of FeAg2Sb2 (PBE, the Alexandria database).

```
data_FeAg2Sb2
_cell_length_a 6.730
_cell_length_b 6.730
_cell_length_c 4.673
_cell_angle_alpha 90.00
_cell_angle_beta 90.00
_cell_angle_gamma 90.00
_symmetry_space_group_name_H-M 'P 4/m b m'
_symmetry_Int_Tables_number 127
_symmetry_space_group_name_Hall '-P 4 2ab'
loop_
_atom_site_label
_atom_site_type_symbol
_atom_site_fract_x
_atom_site_fract_y
_atom_site_fract_z
_atom_site_occupancy
Fe1 Fe 0.000 0.000 0.000 1
Ag1 Ag 0.171 0.329 0.500 1
Sb1 Sb 0.155 0.655 0.000 1
```

Summary:
ΔE_f (raw)   297 meV/atom
Total magnetic moment   1.70 μB per formula unit
Total DFT energy (no corrections)   -4.1853 eV/atom
V   21.2 Å³/atom

=====

Q: What is the ΔE_f (raw) in the ninth record?
A: 1266 meV/atom

=====

Q: Number 2 is which compound?
A: Fe2AgS3

=====

Q: The lowest V belongs to which entry?
A: ZnFe2AgS